Li2Pr2DyPb2 | Alexandria via LeMat-Bulk | PBE | optimized geometry; raw total energy = -3.966 eV per atom; calculated density = 7.58 g/cm³; space group = No. 166
1.0
2.4313 1.4037 9.3359
-2.4313 1.4037 9.3359
0.0000 -2.8074 9.3359
Li Pr Dy Pb
2 2 1 2
Direct
0.1057 0.1057 0.1057
0.8943 0.8943 0.8943
0.3723 0.3723 0.3723
0.6277 0.6277 0.6277
0.5000 0.5000 0.5000
0.2315 0.2315 0.2315
0.7685 0.7685 0.7685